## Ba3GeO5 (PBE)

Data for Ba3GeO5 after structural relaxation.

Properties
- Crystal system: tetragonal
- Raw formation energy: -22.2 eV/f.u.
- Total energy: -6.37 eV per atom
- Relative energy among the computed polymorphs: 0 meV per atom

Cell lengths 7.511, 7.511, 11.787 Å; angles 90.00, 90.00, 90.00 degrees
Sites, in units of the cell vectors:
Ge 0.500 0.500 0.000
Ge 0.000 0.000 0.500
Ge 0.500 0.500 0.500
Ge 0.000 0.000 0.000
O 0.098 0.840 0.407
O 0.840 0.902 0.593
O 0.598 0.660 0.093
O 0.340 0.598 0.907
O 0.000 0.500 0.718
O 0.660 0.402 0.907
O 0.160 0.902 0.093
O 0.402 0.340 0.093
O 0.500 0.000 0.782
O 0.902 0.840 0.907
O 0.840 0.098 0.093
O 0.340 0.402 0.407
O 0.098 0.160 0.907
O 0.000 0.500 0.218
O 0.500 0.000 0.282
O 0.660 0.598 0.407
O 0.402 0.660 0.593
O 0.902 0.160 0.407
O 0.598 0.340 0.593
O 0.160 0.098 0.593
Ba 0.500 0.000 0.504
Ba 0.689 0.689 0.750
Ba 0.811 0.189 0.750
Ba 0.811 0.811 0.250
Ba 0.311 0.689 0.250
Ba 0.189 0.189 0.250
Ba 0.189 0.811 0.750
Ba 0.000 0.500 0.996
Ba 0.311 0.311 0.750
Ba 0.689 0.311 0.250
Ba 0.500 0.000 0.004
Ba 0.000 0.500 0.496